Record 1
This record from Alexandria via LeMat-Bulk describes crystalline Y2CuSb at its relaxed geometry. The functional is PBEsol.

Uncorrected energy ... -6.183 eV per atom
Calculated volume ... 92 Å³ per cell
Total magnetization ... 0.000 Bohr magnetons per cell
ΔE_f (raw) ... -549 meV/atom

Unit cell a=4.891 b=4.891 c=3.847 alpha=90.00 beta=90.00 gamma=90.00
Space group P4/mmm (No. 123)
Inequivalent atoms, fractional coordinates:
Y1 0.000 0.500 0.000 [2 per cell]
Cu1 0.000 0.000 0.500 [1 per cell]
Sb1 0.500 0.500 0.500 [1 per cell]



Record 2
This record from Alexandria via LeMat-Bulk describes crystalline Y2CuSb at its relaxed geometry. The functional is PBEsol.

Uncorrected energy ... -6.324 eV per atom
Calculated volume ... 190 Å³ per cell
Total magnetization ... 0.004 Bohr magnetons per cell
ΔE_f (raw) ... -690 meV/atom

Unit cell a=4.148 b=4.154 c=11.014 alpha=90.00 beta=90.00 gamma=90.00
Space group Amm2 (No. 38)
Inequivalent atoms, fractional coordinates:
Y1 0.000 0.000 0.000 [2 per cell]
Y2 0.500 0.000 0.292 [2 per cell]
Cu1 0.000 0.000 0.733 [2 per cell]
Sb1 0.500 0.000 0.577 [2 per cell]



Record 3
This record from Alexandria via LeMat-Bulk describes crystalline Y2CuSb at its relaxed geometry. The functional is PBEsol.

Uncorrected energy ... -6.169 eV per atom
Calculated volume ... 92 Å³ per cell
Total magnetization ... 0.002 Bohr magnetons per cell
ΔE_f (raw) ... -535 meV/atom

Unit cell a=3.718 b=3.718 c=6.687 alpha=90.00 beta=90.00 gamma=90.00
Space group P4/mmm (No. 123)
Inequivalent atoms, fractional coordinates:
Y1 0.000 0.000 0.240 [2 per cell]
Cu1 0.500 0.500 0.000 [1 per cell]
Sb1 0.500 0.500 0.500 [1 per cell]



Record 4
This record from Alexandria via LeMat-Bulk describes crystalline YCuSb at its relaxed geometry. The functional is PBEsol.

Uncorrected energy ... -5.967 eV per atom
Calculated volume ... 64 Å³ per cell
Total magnetization ... 0.000 Bohr magnetons per cell
ΔE_f (raw) ... -729 meV/atom

Unit cell a=4.2756 b=4.2756 c=4.0408 alpha=90.00 beta=90.00 gamma=120.00
Space group P3m1 (No. 156)
Inequivalent atoms, fractional coordinates:
Y1 0.0000 0.0000 0.0000 [1 per cell]
Cu1 0.6667 0.3333 0.5128 [1 per cell]
Sb1 0.3333 0.6667 0.4976 [1 per cell]